## LiCo3CuO8 (meta-GGA SCAN)

Data for a PBEsol-optimized structure of LiCo3CuO8.

Structure (CIF):
```
data_LiCo3CuO8
_cell_length_a 5.6149
_cell_length_b 5.6149
_cell_length_c 5.8071
_cell_angle_alpha 119.66
_cell_angle_beta 119.66
_cell_angle_gamma 59.70
_space_group_name_H-M_alt 'P 1'
_space_group_IT_number 1
loop_
_space_group_symop_operation_xyz
'x,y,z'
loop_
_atom_site_label
_atom_site_type_symbol
_atom_site_fract_x
_atom_site_fract_y
_atom_site_fract_z
_atom_site_occupancy
Li1 Li 0.0000 0.0000 0.0000 1
Co1 Co 0.0000 0.5000 0.5000 1
Co2 Co 0.5000 0.0000 0.5000 1
Co3 Co 0.5000 0.5000 0.5000 1
Cu1 Cu 0.0000 0.0000 0.5000 1
O1 O 0.2365 0.7262 0.7003 1
O2 O 0.2382 0.2382 0.6945 1
O3 O 0.2651 0.2651 0.3013 1
O4 O 0.2738 0.7635 0.2997 1
O5 O 0.7262 0.2365 0.7003 1
O6 O 0.7349 0.7349 0.6987 1
O7 O 0.7618 0.7618 0.3055 1
O8 O 0.7635 0.2738 0.2997 1
```

Summary:
Total energy: -134.5 eV/cell
Magnetic moment: 1.003 μB/cell
D(E_F): 3.242 states/eV/f.u.
Formation energy from raw total energies: -1165 meV per atom